CsTeC3 | GGA-PBE | relaxed

a = 4.4909 Å, b = 4.4909 Å, c = 4.4909 Å
α = 90.00°, β = 90.00°, γ = 90.00°
Atoms (fractional coordinates):
Cs: 0.0000 0.0000 0.0000
Te: 0.5000 0.5000 0.5000
C: 0.0000 0.5000 0.5000
C: 0.5000 0.0000 0.5000
C: 0.5000 0.5000 0.0000

Results
For the uncorrected formation energy, the calculation gives 2763 meV per atom. The value obtained for the size of the total moment is 0.88 Bohr magnetons per cell. As for the calculated density: 5.44 g/cm3. The symmetry is Pm-3m (221). The excess energy over the best structure of this formula in the dataset comes out at 0 meV per atom. Its crystal system is cubic.

=====

CrCoRh2 | GGA-PBE | relaxed

a = 8.6100 Å, b = 8.6100 Å, c = 8.6100 Å
α = 17.73°, β = 17.73°, γ = 17.73°
Atoms (fractional coordinates):
Cr: 0.0000 0.0000 0.0000
Co: 0.7449 0.7449 0.7449
Rh: 0.2535 0.2535 0.2535
Rh: 0.4940 0.4940 0.4940

Results
The value obtained for the size of the total moment is 1.81 Bohr magnetons per cell. As for the calculated density: 10.18 g/cm3. The symmetry is R3m (160). Its crystal system is trigonal. The final energy comes out at -31.0 eV per cell.

=====

Na2Hg3As | GGA-PBE | relaxed

a = 3.3889 Å, b = 4.9357 Å, c = 8.6535 Å
α = 90.00°, β = 90.00°, γ = 90.00°
Atoms (fractional coordinates):
Na: 0.0000 0.0000 0.0000
Na: 0.0000 0.5000 0.4784
Hg: 0.5000 0.0000 0.6498
Hg: 0.5000 0.5000 0.1565
Hg: 0.5000 0.5000 0.8221
As: 0.5000 0.0000 0.3245

Results
The value obtained for the size of the total moment is 0.00 Bohr magnetons per cell. As for the calculated density: 8.29 g/cm3. The symmetry is Pmm2 (25). Its crystal system is orthorhombic. The final energy comes out at -9.4 eV per cell.

=====

FePbAu2 | GGA-PBE | relaxed

a = 6.0533 Å, b = 6.0533 Å, c = 4.8618 Å
α = 113.56°, β = 113.56°, γ = 28.70°
Atoms (fractional coordinates):
Fe: 0.0000 0.0000 0.0000
Pb: 0.5000 0.5000 0.5000
Au: 0.2881 0.2881 0.7877
Au: 0.7119 0.7119 0.2123

Results
The value obtained for the size of the total moment is 2.82 Bohr magnetons per cell. As for the calculated density: 14.00 g/cm3. The symmetry is C2/m (12). Its crystal system is monoclinic. The final energy comes out at -17.8 eV per cell.

=====

Question: Number 1 is which compound?
Answer: CsTeC3

=====

Question: Among the records above, which one has the lowest calculated density?
Answer: CsTeC3